The following is a PBE calculation of a relaxed structure of CeZr2ZnN4, from the Alexandria database.

```
CeZr2ZnN4
1.0
-2.866 1.583 -0.546
1.596 -2.340 -5.069
-5.702 -9.439 2.562
Ce Zr Zn N
2 4 2 8
Direct
0.110 0.219 0.750
0.890 0.781 0.250
0.371 0.742 0.545
0.629 0.258 0.045
0.629 0.258 0.455
0.371 0.742 0.955
0.844 0.688 0.750
0.156 0.312 0.250
0.270 0.541 0.115
0.730 0.459 0.615
0.730 0.459 0.885
0.270 0.541 0.385
0.000 0.000 0.500
0.000 0.000 0.000
0.447 0.893 0.750
0.553 0.107 0.250
```

## Properties
uncorrected formation energy = -1.198 eV per atom
space-group type = Cmcm, No. 63

***

The following is a PBE calculation of a relaxed structure of KHf3V, from the Alexandria database.

```
KHf3V
1.0
5.085 0.000 0.000
0.000 5.085 0.000
0.000 0.000 5.085
K Hf V
1 3 1
Direct
0.500 0.500 0.500
0.000 0.500 0.000
0.000 0.000 0.500
0.500 0.000 0.000
0.000 0.000 0.000
```

## Properties
energy of formation = 0.98 eV/atom
space-group type = Pm-3m, No. 221
energy above the most stable polymorph in this dataset = 0 meV per atom

***

| no. | E (eV/cell) | theoretical density (g/cm3) |
| --- | --- | --- |
| 1 | -134.37 | 7.05 |
| 2 | -35.16 | 7.90 |